1.
A plane-wave DFT calculation with PBE was carried out for a geometry-optimized Na4Cd2InGe structure.

Computed properties:
The calculation puts the total DFT energy (no corrections) at -15.332 eV/cell.

```
8
Lattice="5.0522 0.0000 0.0000 0.0000 5.0522 0.0000 0.0000 0.0000 7.3351" Properties=species:S:1:pos:R:3 pbc="T T T"
Na 0.0000 0.0000 0.0000
Na 0.0000 2.5261 5.4046
Na 2.5261 0.0000 1.9305
Na 2.5261 2.5261 3.6675
Cd 0.0000 2.5261 1.8816
Cd 2.5261 0.0000 5.4535
In 2.5261 2.5261 0.0000
Ge 0.0000 0.0000 3.6675
```

2.
A plane-wave DFT calculation with PBE was carried out for a geometry-optimized CdGe2Ir structure.

Computed properties:
The calculation puts the total DFT energy (no corrections) at -17.656 eV/cell. The value obtained for the magnetization is 0.00 Bohr magnetons per cell.

```
4
Lattice="0.0000 3.2786 3.2786 3.2786 0.0000 3.2786 3.2786 3.2786 0.0000" Properties=species:S:1:pos:R:3 pbc="T T T"
Cd 0.0000 0.0000 0.0000
Ge 3.2786 3.2786 3.2786
Ge 4.9179 4.9179 4.9179
Ir 1.6393 1.6393 1.6393
```

3.
A plane-wave DFT calculation with PBE was carried out for a geometry-optimized CdGeIr2 structure.

Computed properties:
The calculation puts the total DFT energy (no corrections) at -21.645 eV/cell. The value obtained for the magnetization is 0.08 Bohr magnetons per cell.

```
4
Lattice="0.0000 3.2054 3.2054 3.2054 0.0000 3.2054 3.2054 3.2054 0.0000" Properties=species:S:1:pos:R:3 pbc="T T T"
Cd 0.0000 0.0000 0.0000
Ge 4.8081 4.8081 4.8081
Ir 1.6027 1.6027 1.6027
Ir 3.2054 3.2054 3.2054
```

4.
A plane-wave DFT calculation with PBE was carried out for a geometry-optimized CdGeIr structure.

Computed properties:
The calculation puts the total DFT energy (no corrections) at -13.692 eV/cell. The value obtained for the magnetization is 0.00 Bohr magnetons per cell.

```
3
Lattice="0.0000 3.0354 3.0354 3.0354 0.0000 3.0354 3.0354 3.0354 0.0000" Properties=species:S:1:pos:R:3 pbc="T T T"
Cd 0.0000 0.0000 0.0000
Ge 1.5177 1.5177 1.5177
Ir 3.0354 3.0354 3.0354
```

5.
A plane-wave DFT calculation with PBE was carried out for a geometry-optimized Li4CdGeIr2 structure.

Computed properties:
The calculation puts the total DFT energy (no corrections) at -33.277 eV/cell. The value obtained for the magnetization is 0.00 Bohr magnetons per cell.

```
8
Lattice="4.3184 0.0000 0.0000 0.0000 4.3184 0.0000 0.0000 0.0000 6.1719" Properties=species:S:1:pos:R:3 pbc="T T T"
Li 0.0000 0.0000 0.0000
Li 0.0000 2.1592 4.5631
Li 2.1592 0.0000 1.6088
Li 2.1592 2.1592 3.0860
Cd 2.1592 2.1592 0.0000
Ge 0.0000 0.0000 3.0860
Ir 0.0000 2.1592 1.7695
Ir 2.1592 0.0000 4.4024
```

6.
A plane-wave DFT calculation with PBE was carried out for a geometry-optimized Cd4Ge2IrPt structure.

Computed properties:
The calculation puts the total DFT energy (no corrections) at -29.229 eV/cell. The value obtained for the magnetization is 0.01 Bohr magnetons per cell.

```
8
Lattice="4.4226 0.0000 0.0000 -2.2113 3.8301 0.0000 0.0000 0.0000 9.0239" Properties=species:S:1:pos:R:3 pbc="T T T"
Cd 0.0000 0.0000 1.5473
Cd 0.0000 0.0000 7.4766
Cd 2.2113 1.2767 2.9201
Cd 2.2113 1.2767 6.1038
Ge 0.0000 2.5534 0.0000
Ge 0.0000 2.5534 4.5120
Ir 2.2113 1.2767 0.0000
Pt 0.0000 0.0000 4.5120
```